ZnPt2Au | PBE-GGA | optimized geometry

extended XYZ file:
```
8
Lattice="3.827 0.000 0.000 0.000 3.827 0.000 1.914 1.914 9.450" Properties=species:S:1:pos:R:3 pbc="T T T"
Zn 1.914 1.914 0.000
Zn 1.914 3.827 4.725
Au 0.000 0.000 0.000
Au 3.827 1.914 4.725
Pt 2.850 0.957 2.363
Pt 0.977 2.870 2.363
Pt 2.870 2.891 7.088
Pt 4.784 4.764 7.088
```

- magnetization (Bohr magnetons per cell) = 0.00
- theoretical density (g/cm³) = 15.66
- space-group type = I-42d (122)
- formation enthalpy at 0 K (eV per atom) = 0.011

=====

Zn3Pt12Au | PBE-GGA | optimized geometry

extended XYZ file:
```
16
Lattice="-1.746 2.987 -1.905 -3.240 -0.488 2.205 5.740 10.165 10.683" Properties=species:S:1:pos:R:3 pbc="T T T"
Zn 1.454 2.575 2.706
Zn 2.870 5.082 5.342
Zn 4.286 7.590 7.978
Pt -2.493 1.250 0.150
Pt -1.036 3.831 2.863
Pt 0.377 6.332 5.492
Pt 1.790 8.834 8.121
Pt -0.120 2.827 0.449
Pt 1.290 5.323 3.073
Pt 2.705 7.829 5.706
Pt 4.114 10.325 8.330
Pt -0.867 1.090 2.504
Pt 0.542 3.586 5.127
Pt 1.957 6.092 7.761
Pt 3.367 8.588 10.384
Au 0.000 0.000 0.000
```

- magnetization (Bohr magnetons per cell) = 0.00
- theoretical density (g/cm³) = 18.39
- space-group type = P4/mmm (123)
- formation enthalpy at 0 K (eV per atom) = -0.241

=====

ZnPt2Au | PBE-GGA | optimized geometry

extended XYZ file:
```
4
Lattice="4.863 -0.016 0.002 4.018 2.740 0.002 1.005 0.308 4.749" Properties=species:S:1:pos:R:3 pbc="T T T"
Au 2.424 0.744 1.203
Pt 1.029 0.315 4.723
Pt 7.468 2.291 3.537
Zn 4.911 1.507 2.418
```

- magnetization (Bohr magnetons per cell) = 0.00
- theoretical density (g/cm³) = 17.05
- space-group type = Cm (8)
- formation enthalpy at 0 K (eV per atom) = -0.209

=====

ZnPt2Au | PBE-GGA | optimized geometry

extended XYZ file:
```
4
Lattice="4.816 0.000 0.000 1.399 4.608 0.000 -3.107 -2.304 2.868" Properties=species:S:1:pos:R:3 pbc="T T T"
Au 2.408 0.000 1.434
Pt 0.000 0.000 0.000
Pt 0.699 2.304 1.434
Zn 3.107 2.304 0.000
```

- magnetization (Bohr magnetons per cell) = 0.00
- theoretical density (g/cm³) = 17.02
- space-group type = I-4m2 (119)
- formation enthalpy at 0 K (eV per atom) = -0.195